Below is a relaxed HfTiIn2 crystal, with properties calculated at the GGA-PBE level.

a = 3.0559 Å, b = 3.0559 Å, c = 8.7489 Å
α = 90.00°, β = 90.00°, γ = 90.00°
Space group P4/mmm (No. 123)
Asymmetric unit:
1 Hf 0.0000 0.0000 0.0000 [1 per cell]
2 Ti 0.0000 0.0000 0.5000 [1 per cell]
3 In 0.5000 0.5000 0.2608 [2 per cell]

Summary:
DFT formation energy = -0.15 eV per atom
ΔE to the lowest computed polymorph = 0 meV per atom
density = 9.268 g cm⁻³
crystal system = tetragonal